(1)
Material: Rb2Mo3O10
Method: DFT, meta-GGA SCAN
State: single point on PBEsol structure

Properties
Energy relative to the elements, uncorrected ... -2221.5 meV per atom
SG ... C2/c (15)
Energy ... -16.118 eV per atom

a = 8.1945 Å, b = 8.1945 Å, c = 9.1348 Å
α = 96.97°, β = 96.97°, γ = 59.65°
Positions (direct):
Rb 0.0967 0.2686 0.1593
Rb 0.2686 0.0967 0.6593
Rb 0.7314 0.9033 0.3407
Rb 0.9033 0.7314 0.8407
Mo 0.2124 0.7876 0.2500
Mo 0.3200 0.4655 0.4787
Mo 0.4655 0.3200 0.9787
Mo 0.5345 0.6800 0.0213
Mo 0.6800 0.5345 0.5213
Mo 0.7876 0.2124 0.7500
O 0.0293 0.8659 0.1162
O 0.1341 0.9707 0.3838
O 0.1540 0.6084 0.3202
O 0.1709 0.5500 0.6187
O 0.2417 0.3578 0.9201
O 0.3578 0.2417 0.4201
O 0.3916 0.8460 0.1798
O 0.3943 0.5566 0.0932
O 0.4434 0.6057 0.4068
O 0.4500 0.8291 0.8813
O 0.5500 0.1709 0.1187
O 0.5566 0.3943 0.5932
O 0.6057 0.4434 0.9068
O 0.6084 0.1540 0.8202
O 0.6422 0.7583 0.5799
O 0.7583 0.6422 0.0799
O 0.8291 0.4500 0.3813
O 0.8460 0.3916 0.6798
O 0.8659 0.0293 0.6162
O 0.9707 0.1341 0.8838


(2)
Material: TlMoSe2
Method: DFT, meta-GGA SCAN
State: single point on PBEsol structure

Properties
Energy relative to the elements, uncorrected ... -223.2 meV per atom
SG ... P4/mmm (123)
Energy ... -37.073 eV per atom

a = 3.1009 Å, b = 3.1009 Å, c = 8.5651 Å
α = 90.00°, β = 90.00°, γ = 90.00°
Positions (direct):
Tl 0.0000 0.0000 0.0000
Mo 0.0000 0.0000 0.5000
Se 0.5000 0.5000 0.3242
Se 0.5000 0.5000 0.6758


(3)
Material: LaCuAs2
Method: DFT, meta-GGA SCAN
State: single point on PBEsol structure

Properties
SG ... R-3m (166)
Energy of formation from the pure elements ... -14.91 kcal/mol of atoms
Energy ... -25.318 eV per atom

a = 4.3285 Å, b = 4.3285 Å, c = 15.0282 Å
α = 90.00°, β = 90.00°, γ = 120.00°
Positions (direct):
La 0.0000 0.0000 0.0000
La 0.3333 0.6667 0.6667
La 0.6667 0.3333 0.3333
Cu 0.0000 0.0000 0.5000
Cu 0.3333 0.6667 0.1667
Cu 0.6667 0.3333 0.8333
As 0.0000 0.0000 0.2139
As 0.0000 0.0000 0.7861
As 0.3333 0.6667 0.4527
As 0.3333 0.6667 0.8806
As 0.6667 0.3333 0.1194
As 0.6667 0.3333 0.5473


(4)
Material: HoCu4Ag
Method: DFT, meta-GGA SCAN
State: single point on PBEsol structure

Properties
SG ... F-43m (216)
Energy of formation from the pure elements ... -6.03 kcal/mol of atoms
Energy ... -23.787 eV per atom

a = 4.9485 Å, b = 4.9485 Å, c = 4.9485 Å
α = 60.00°, β = 60.00°, γ = 60.00°
Positions (direct):
Ho 0.0000 0.0000 0.0000
Cu 0.3758 0.3758 0.3758
Cu 0.3758 0.3758 0.8725
Cu 0.3758 0.8725 0.3758
Cu 0.8725 0.3758 0.3758
Ag 0.7500 0.7500 0.7500


(5)
Material: Na3SiN
Method: DFT, meta-GGA SCAN
State: single point on PBEsol structure

Properties
Energy relative to the elements, uncorrected ... 1095.1 meV per atom
SG ... Pm-3m (221)
Energy ... -5.295 eV per atom

a = 5.5884 Å, b = 5.5884 Å, c = 5.5884 Å
α = 90.00°, β = 90.00°, γ = 90.00°
Positions (direct):
Na 0.0000 0.0000 0.5000
Na 0.0000 0.5000 0.0000
Na 0.5000 0.0000 0.0000
Si 0.0000 0.0000 0.0000
N 0.5000 0.5000 0.5000


(6)
Material: Ta2GaHgIr
Method: DFT, meta-GGA SCAN
State: single point on PBEsol structure

Properties
SG ... P4/mmm (123)
Energy of formation from the pure elements ... 47.64 kcal/mol of atoms
Energy ... -55.690 eV per atom

a = 4.9852 Å, b = 4.9852 Å, c = 4.4423 Å
α = 90.00°, β = 90.00°, γ = 90.00°
Positions (direct):
Ta 0.0000 0.5000 0.0000
Ta 0.5000 0.0000 0.0000
Ga 0.0000 0.0000 0.5000
Hg 0.0000 0.0000 0.0000
Ir 0.5000 0.5000 0.5000


(7)
Material: TlFeTc2
Method: DFT, meta-GGA SCAN
State: single point on PBEsol structure

Properties
Offset from the most stable computed form ... 198 meV per atom
SG ... R-3m (166)
Energy of formation from the pure elements ... 13.43 kcal/mol of atoms
Energy ... -39.570 eV per atom

a = 2.8123 Å, b = 2.8123 Å, c = 26.4674 Å
α = 90.00°, β = 90.00°, γ = 120.00°
Positions (direct):
Tl 0.0000 0.0000 0.0000
Tl 0.3333 0.6667 0.6667
Tl 0.6667 0.3333 0.3333
Fe 0.0000 0.0000 0.5000
Fe 0.3333 0.6667 0.1667
Fe 0.6667 0.3333 0.8333
Tc 0.0000 0.0000 0.2401
Tc 0.0000 0.0000 0.7599
Tc 0.3333 0.6667 0.4265
Tc 0.3333 0.6667 0.9068
Tc 0.6667 0.3333 0.0932
Tc 0.6667 0.3333 0.5735


(8)
Material: KIn2TcPt
Method: DFT, meta-GGA SCAN
State: single point on PBEsol structure

Properties
SG ... P4/mmm (123)
Energy of formation from the pure elements ... 2.66 kcal/mol of atoms
Energy ... -35.955 eV per atom

a = 5.1997 Å, b = 5.1997 Å, c = 4.8111 Å
α = 90.00°, β = 90.00°, γ = 90.00°
Positions (direct):
K 0.0000 0.0000 0.0000
In 0.0000 0.5000 0.5000
In 0.5000 0.0000 0.5000
Tc 0.5000 0.5000 0.5000
Pt 0.5000 0.5000 0.0000


(9)
Material: CrP2Au
Method: DFT, meta-GGA SCAN
State: single point on PBEsol structure

Properties
Offset from the most stable computed form ... 0 meV per atom
SG ... Cm (8)
Energy of formation from the pure elements ... 0.82 kcal/mol of atoms
Energy ... -27.049 eV per atom

a = 7.7548 Å, b = 3.1428 Å, c = 4.8953 Å
α = 90.00°, β = 103.32°, γ = 90.00°
Positions (direct):
Cr 0.0000 0.0000 0.0000
Cr 0.5000 0.5000 0.0000
P 0.0175 0.5000 0.6650
P 0.2937 0.0000 0.0169
P 0.5175 0.0000 0.6650
P 0.7937 0.5000 0.0169
Au 0.2570 0.5000 0.4195
Au 0.7570 0.0000 0.4195


(10)
Material: LaTaBe2
Method: DFT, meta-GGA SCAN
State: single point on PBEsol structure

Properties
Offset from the most stable computed form ... 253 meV per atom
SG ... I-4m2 (119)
Energy of formation from the pure elements ... 17.14 kcal/mol of atoms
Energy ... -28.856 eV per atom

a = 3.9261 Å, b = 3.9261 Å, c = 8.7517 Å
α = 90.00°, β = 90.00°, γ = 90.00°
Positions (direct):
La 0.0000 0.0000 0.0000
La 0.5000 0.5000 0.5000
Ta 0.0000 0.5000 0.2500
Ta 0.5000 0.0000 0.7500
Be 0.0000 0.0000 0.5000
Be 0.0000 0.5000 0.7500
Be 0.5000 0.0000 0.2500
Be 0.5000 0.5000 0.0000


(11)
Material: NaFeCoOs2
Method: DFT, meta-GGA SCAN
State: single point on PBEsol structure

Properties
SG ... P4/mmm (123)
Energy of formation from the pure elements ... 34.01 kcal/mol of atoms
Energy ... -35.207 eV per atom

a = 4.4039 Å, b = 4.4039 Å, c = 4.4210 Å
α = 90.00°, β = 90.00°, γ = 90.00°
Positions (direct):
Na 0.0000 0.0000 0.0000
Fe 0.5000 0.5000 0.0000
Co 0.5000 0.5000 0.5000
Os 0.0000 0.5000 0.5000
Os 0.5000 0.0000 0.5000


(12)
Material: YOs2Br
Method: DFT, meta-GGA SCAN
State: single point on PBEsol structure

Properties
Offset from the most stable computed form ... 175 meV per atom
Energy relative to the elements, uncorrected ... 469.3 meV per atom
SG ... I4/mmm (139)
Energy ... -47.296 eV per atom

a = 3.6984 Å, b = 3.6984 Å, c = 10.9413 Å
α = 90.00°, β = 90.00°, γ = 90.00°
Positions (direct):
Y 0.0000 0.0000 0.0000
Y 0.5000 0.5000 0.5000
Os 0.0000 0.5000 0.2500
Os 0.0000 0.5000 0.7500
Os 0.5000 0.0000 0.2500
Os 0.5000 0.0000 0.7500
Br 0.0000 0.0000 0.5000
Br 0.5000 0.5000 0.0000


(13)
Material: SrTiP2
Method: DFT, meta-GGA SCAN
State: single point on PBEsol structure

Properties
SG ... Fm-3m (225)
Energy of formation from the pure elements ... -9.78 kcal/mol of atoms
Energy ... -15.200 eV per atom

a = 6.6966 Å, b = 6.6966 Å, c = 6.6966 Å
α = 90.00°, β = 90.00°, γ = 90.00°
Positions (direct):
Sr 0.0000 0.0000 0.0000
Sr 0.0000 0.5000 0.5000
Sr 0.5000 0.0000 0.5000
Sr 0.5000 0.5000 0.0000
Ti 0.0000 0.0000 0.5000
Ti 0.0000 0.5000 0.0000
Ti 0.5000 0.0000 0.0000
Ti 0.5000 0.5000 0.5000
P 0.2500 0.2500 0.2500
P 0.2500 0.2500 0.7500
P 0.2500 0.7500 0.2500
P 0.2500 0.7500 0.7500
P 0.7500 0.2500 0.2500
P 0.7500 0.2500 0.7500
P 0.7500 0.7500 0.2500
P 0.7500 0.7500 0.7500


(14)
Material: TlSbPb2
Method: DFT, meta-GGA SCAN
State: single point on PBEsol structure

Properties
Offset from the most stable computed form ... 79 meV per atom
Energy relative to the elements, uncorrected ... 96.6 meV per atom
SG ... R-3m (166)
Energy ... -65.199 eV per atom

a = 3.4421 Å, b = 3.4421 Å, c = 33.3666 Å
α = 90.00°, β = 90.00°, γ = 120.00°
Positions (direct):
Tl 0.0000 0.0000 0.0000
Tl 0.3333 0.6667 0.6667
Tl 0.6667 0.3333 0.3333
Sb 0.0000 0.0000 0.5000
Sb 0.3333 0.6667 0.1667
Sb 0.6667 0.3333 0.8333
Pb 0.0000 0.0000 0.2483
Pb 0.0000 0.0000 0.7517
Pb 0.3333 0.6667 0.4183
Pb 0.3333 0.6667 0.9150
Pb 0.6667 0.3333 0.0850
Pb 0.6667 0.3333 0.5817


(15)
Material: SiClO2
Method: DFT, meta-GGA SCAN
State: single point on PBEsol structure

Properties
Energy relative to the elements, uncorrected ... -1953.9 meV per atom
SG ... Fd-3m (227)
Energy ... -9.568 eV per atom

a = 5.2926 Å, b = 5.2926 Å, c = 5.2926 Å
α = 60.00°, β = 60.00°, γ = 60.00°
Positions (direct):
Si 0.1250 0.1250 0.1250
Si 0.8750 0.8750 0.8750
Cl 0.3750 0.3750 0.3750
Cl 0.6250 0.6250 0.6250
O 0.0000 0.0000 0.0000
O 0.0000 0.0000 0.5000
O 0.0000 0.5000 0.0000
O 0.5000 0.0000 0.0000


(16)
Material: In2ReAu
Method: DFT, meta-GGA SCAN
State: single point on PBEsol structure

Properties
Offset from the most stable computed form ... 21 meV per atom
SG ... C2/m (12)
Energy of formation from the pure elements ... 10.70 kcal/mol of atoms
Energy ... -51.293 eV per atom

a = 9.4683 Å, b = 2.8814 Å, c = 5.3832 Å
α = 90.00°, β = 101.20°, γ = 90.00°
Positions (direct):
In 0.2470 0.0000 0.2439
In 0.2530 0.5000 0.7561
In 0.7470 0.5000 0.2439
In 0.7530 0.0000 0.7561
Re 0.0000 0.5000 0.0000
Re 0.5000 0.0000 0.0000
Au 0.0000 0.0000 0.5000
Au 0.5000 0.5000 0.5000


(17)
Material: Ta2MnCl
Method: DFT, meta-GGA SCAN
State: single point on PBEsol structure

Properties
Offset from the most stable computed form ... 41 meV per atom
Energy relative to the elements, uncorrected ... 586.2 meV per atom
SG ... Fm-3m (225)
Energy ... -39.264 eV per atom

a = 6.2323 Å, b = 6.2323 Å, c = 6.2323 Å
α = 90.00°, β = 90.00°, γ = 90.00°
Positions (direct):
Ta 0.2500 0.2500 0.2500
Ta 0.2500 0.2500 0.7500
Ta 0.2500 0.7500 0.2500
Ta 0.2500 0.7500 0.7500
Ta 0.7500 0.2500 0.2500
Ta 0.7500 0.2500 0.7500
Ta 0.7500 0.7500 0.2500
Ta 0.7500 0.7500 0.7500
Mn 0.0000 0.0000 0.0000
Mn 0.0000 0.5000 0.5000
Mn 0.5000 0.0000 0.5000
Mn 0.5000 0.5000 0.0000
Cl 0.0000 0.0000 0.5000
Cl 0.0000 0.5000 0.0000
Cl 0.5000 0.0000 0.0000
Cl 0.5000 0.5000 0.5000


(18)
Material: Nb2SnP
Method: DFT, meta-GGA SCAN
State: single point on PBEsol structure

Properties
SG ... Fm-3m (225)
Energy of formation from the pure elements ... -1.60 kcal/mol of atoms
Energy ... -28.214 eV per atom

a = 6.4890 Å, b = 6.4890 Å, c = 6.4890 Å
α = 90.00°, β = 90.00°, γ = 90.00°
Positions (direct):
Nb 0.2500 0.2500 0.2500
Nb 0.2500 0.2500 0.7500
Nb 0.2500 0.7500 0.2500
Nb 0.2500 0.7500 0.7500
Nb 0.7500 0.2500 0.2500
Nb 0.7500 0.2500 0.7500
Nb 0.7500 0.7500 0.2500
Nb 0.7500 0.7500 0.7500
Sn 0.0000 0.0000 0.0000
Sn 0.0000 0.5000 0.5000
Sn 0.5000 0.0000 0.5000
Sn 0.5000 0.5000 0.0000
P 0.0000 0.0000 0.5000
P 0.0000 0.5000 0.0000
P 0.5000 0.0000 0.0000
P 0.5000 0.5000 0.5000


(19)
Material: Cr2RuRh
Method: DFT, meta-GGA SCAN
State: single point on PBEsol structure

Properties
SG ... P4/mmm (123)
Energy of formation from the pure elements ... 1.01 kcal/mol of atoms
Energy ... -26.298 eV per atom

a = 3.7128 Å, b = 3.7128 Å, c = 3.5939 Å
α = 90.00°, β = 90.00°, γ = 90.00°
Positions (direct):
Cr 0.0000 0.5000 0.0000
Cr 0.5000 0.0000 0.0000
Ru 0.0000 0.0000 0.5000
Rh 0.5000 0.5000 0.5000


(20)
Material: CaAl2Co2
Method: DFT, meta-GGA SCAN
State: single point on PBEsol structure

Properties
SG ... P4/mbm (127)
Energy of formation from the pure elements ... -4.63 kcal/mol of atoms
Energy ... -12.156 eV per atom

a = 7.2025 Å, b = 7.2025 Å, c = 2.7447 Å
α = 90.00°, β = 90.00°, γ = 90.00°
Positions (direct):
Ca 0.0000 0.0000 0.0000
Ca 0.5000 0.5000 0.0000
Al 0.1379 0.3621 0.5000
Al 0.3621 0.8621 0.5000
Al 0.6379 0.1379 0.5000
Al 0.8621 0.6379 0.5000
Co 0.1517 0.6517 0.0000
Co 0.3483 0.1517 0.0000
Co 0.6517 0.8483 0.0000
Co 0.8483 0.3483 0.0000


(21)
Material: Mn2AlRh
Method: DFT, meta-GGA SCAN
State: single point on PBEsol structure

Properties
SG ... P4/mmm (123)
Energy of formation from the pure elements ... -5.86 kcal/mol of atoms
Energy ... -19.762 eV per atom

a = 2.6296 Å, b = 2.6296 Å, c = 7.0924 Å
α = 90.00°, β = 90.00°, γ = 90.00°
Positions (direct):
Mn 0.0000 0.0000 0.2478
Mn 0.0000 0.0000 0.7522
Al 0.5000 0.5000 0.5000
Rh 0.5000 0.5000 0.0000


(22)
Material: Ca3Fe2W2O12
Method: DFT, meta-GGA SCAN
State: single point on PBEsol structure

Properties
Offset from the most stable computed form ... 0 meV per atom
Energy relative to the elements, uncorrected ... -2457.6 meV per atom
SG ... Pm (6)
Energy ... -17.163 eV per atom

a = 5.3169 Å, b = 5.2999 Å, c = 7.4718 Å
α = 90.00°, β = 90.10°, γ = 90.00°
Positions (direct):
Ca 0.0000 0.0000 0.0000
Ca 0.0104 0.0000 0.4984
Ca 0.4977 0.5000 0.5011
Fe 0.0081 0.5000 0.2486
Fe 0.5078 0.0000 0.7491
W 0.0051 0.5000 0.7597
W 0.5106 0.0000 0.2390
O 0.0678 0.5000 0.0039
O 0.2536 0.2491 0.2889
O 0.2536 0.7509 0.2889
O 0.2565 0.2449 0.7087
O 0.2565 0.7551 0.7087
O 0.4425 0.0000 0.9942
O 0.5735 0.0000 0.5007
O 0.7608 0.2404 0.7778
O 0.7608 0.7596 0.7778
O 0.7678 0.2472 0.2198
O 0.7678 0.7528 0.2198
O 0.9368 0.5000 0.4975


(23)
Material: LaMg2
Method: DFT, meta-GGA SCAN
State: single point on PBEsol structure

Properties
SG ... I4_1/amd (141)
Energy of formation from the pure elements ... -2.24 kcal/mol of atoms
Energy ... -17.781 eV per atom

a = 14.2100 Å, b = 14.2100 Å, c = 14.2100 Å
α = 160.52°, β = 160.52°, γ = 27.68°
Positions (direct):
La 0.2844 0.5344 0.7500
La 0.4656 0.7156 0.7500
La 0.5344 0.2844 0.2500
La 0.7156 0.4656 0.2500
Mg 0.0506 0.8006 0.2500
Mg 0.1263 0.3763 0.7500
Mg 0.1994 0.9494 0.2500
Mg 0.3763 0.1263 0.2500
Mg 0.6237 0.8737 0.7500
Mg 0.8006 0.0506 0.7500
Mg 0.8737 0.6237 0.2500
Mg 0.9494 0.1994 0.7500


(24)
Material: Mn20W3C6
Method: DFT, meta-GGA SCAN
State: single point on PBEsol structure

Properties
SG ... Fm-3m (225)
Energy of formation from the pure elements ... -0.77 kcal/mol of atoms
Energy ... -21.922 eV per atom

a = 7.3433 Å, b = 7.3433 Å, c = 7.3433 Å
α = 60.00°, β = 60.00°, γ = 60.00°
Positions (direct):
Mn 0.0000 0.0000 0.3425
Mn 0.0000 0.0000 0.6575
Mn 0.0000 0.3425 0.0000
Mn 0.0000 0.3425 0.6575
Mn 0.0000 0.6575 0.0000
Mn 0.0000 0.6575 0.3425
Mn 0.1536 0.6155 0.6155
Mn 0.3425 0.0000 0.0000
Mn 0.3425 0.0000 0.6575
Mn 0.3425 0.6575 0.0000
Mn 0.3845 0.3845 0.3845
Mn 0.3845 0.3845 0.8464
Mn 0.3845 0.8464 0.3845
Mn 0.6155 0.1536 0.6155
Mn 0.6155 0.6155 0.1536
Mn 0.6155 0.6155 0.6155
Mn 0.6575 0.0000 0.0000
Mn 0.6575 0.0000 0.3425
Mn 0.6575 0.3425 0.0000
Mn 0.8464 0.3845 0.3845
W 0.0000 0.0000 0.0000
W 0.2500 0.2500 0.2500
W 0.7500 0.7500 0.7500
C 0.2738 0.2738 0.7262
C 0.2738 0.7262 0.2738
C 0.2738 0.7262 0.7262
C 0.7262 0.2738 0.2738
C 0.7262 0.2738 0.7262
C 0.7262 0.7262 0.2738


(25)
Material: ZrInTc2
Method: DFT, meta-GGA SCAN
State: single point on PBEsol structure

Properties
Offset from the most stable computed form ... 0 meV per atom
SG ... P4mm (99)
Energy of formation from the pure elements ... -4.40 kcal/mol of atoms
Energy ... -33.742 eV per atom

a = 2.9716 Å, b = 2.9716 Å, c = 7.9092 Å
α = 90.00°, β = 90.00°, γ = 90.00°
Positions (direct):
Zr 0.0000 0.0000 0.0000
In 0.5000 0.5000 0.3049
Tc 0.0000 0.0000 0.5643
Tc 0.5000 0.5000 0.7429